[1]
Below is a relaxed NdTmAg crystal, with properties calculated at the GGA-PBE level.

Results
Energy of formation from the pure elements = 0.435 eV per atom
V = 28.3 Å³ per atom

Cell: 4.9331 4.9331 4.9331 Å, 60.00 60.00 60.00°
With the nearest neighbours (Å) after each atom.
Positions (direct):
1 Ag 0.2500 0.2500 0.2500  4 Tm 3.02
2 Nd 0.7500 0.7500 0.7500  4 Tm 3.02
3 Tm 0.0000 0.0000 0.0000  4 Ag 3.02, 4 Nd 3.02

[2]
Below is a relaxed NdTm4Ag5 crystal, with properties calculated at the GGA-PBE level.

Results
Energy of formation from the pure elements = -0.334 eV per atom
V = 23.5 Å³ per atom

Cell: 3.5914 3.5914 18.1910 Å, 90.00 90.00 90.00°
With the nearest neighbours (Å) after each atom.
Positions (direct):
1 Ag 0.5000 0.5000 0.1126  4 Tm 3.06, 4 Nd 3.26
2 Ag 0.5000 0.5000 0.3037  8 Tm 3.10-3.11
3 Ag 0.5000 0.5000 0.5000  8 Tm 3.10
4 Ag 0.5000 0.5000 0.6963  8 Tm 3.10-3.11
5 Ag 0.5000 0.5000 0.8874  4 Tm 3.06, 4 Nd 3.26
6 Nd 0.0000 0.0000 0.0000  8 Ag 3.26, 4 Nd 3.59
7 Tm 0.0000 0.0000 0.2063  8 Ag 3.06-3.10
8 Tm 0.0000 0.0000 0.4019  8 Ag 3.10-3.11
9 Tm 0.0000 0.0000 0.5981  8 Ag 3.10-3.11
10 Tm 0.0000 0.0000 0.7937  8 Ag 3.06-3.10

[3]
Below is a relaxed NdYAg6 crystal, with properties calculated at the GGA-PBE level.

Results
Energy of formation from the pure elements = -0.249 eV per atom
V = 20.8 Å³ per atom

Cell: 5.0674 6.2875 5.2244 Å, 90.00 90.00 90.00°
With the nearest neighbours (Å) after each atom.
Positions (direct):
1 Ag 0.5000 0.0000 0.1937  8 Ag 2.89-3.21, 2 Nd 3.13, 2 Y 3.15
2 Ag 0.0000 0.2641 0.3382  7 Ag 2.91-3.12, 2 Nd 3.07-3.12, 2 Y 3.09
3 Ag 0.0000 0.7359 0.3382  7 Ag 2.91-3.12, 2 Nd 3.07-3.12, 2 Y 3.09
4 Ag 0.5000 0.2511 0.6580  8 Ag 2.89-3.21, 2 Y 3.02-3.07, 2 Nd 3.14
5 Ag 0.5000 0.7489 0.6580  8 Ag 2.89-3.21, 2 Y 3.02-3.07, 2 Nd 3.14
6 Ag 0.0000 0.5000 0.8177  8 Ag 2.91-3.10, 2 Y 3.08, 2 Nd 3.15
7 Nd 0.0000 0.0000 0.8433  12 Ag 3.07-3.15
8 Y 0.5000 0.5000 0.1529  12 Ag 3.02-3.15

[4]
Below is a relaxed NdY2Ag3 crystal, with properties calculated at the GGA-PBE level.

Results
Energy of formation from the pure elements = -0.317 eV per atom
V = 24.6 Å³ per atom

Cell: 3.6437 3.6437 11.1349 Å, 90.00 90.00 90.00°
With the nearest neighbours (Å) after each atom.
Positions (direct):
1 Ag 0.0000 0.0000 0.0000  8 Y 3.15
2 Ag 0.0000 0.0000 0.3210  4 Y 3.12, 4 Nd 3.26
3 Ag 0.0000 0.0000 0.6790  4 Y 3.12, 4 Nd 3.26
4 Nd 0.5000 0.5000 0.5000  8 Ag 3.26, 4 Nd 3.64
5 Y 0.5000 0.5000 0.1628  8 Ag 3.12-3.15
6 Y 0.5000 0.5000 0.8372  8 Ag 3.12-3.15

[5]
Below is a relaxed NdY4Ag5 crystal, with properties calculated at the GGA-PBE level.

Results
Energy of formation from the pure elements = -0.327 eV per atom
V = 24.4 Å³ per atom

Cell: 3.6398 3.6398 18.3855 Å, 90.00 90.00 90.00°
With the nearest neighbours (Å) after each atom.
Positions (direct):
1 Ag 0.5000 0.5000 0.1084  4 Y 3.12, 4 Nd 3.26
2 Ag 0.5000 0.5000 0.3027  8 Y 3.14-3.15
3 Ag 0.5000 0.5000 0.5000  8 Y 3.15
4 Ag 0.5000 0.5000 0.6973  8 Y 3.14-3.15
5 Ag 0.5000 0.5000 0.8916  4 Y 3.12, 4 Nd 3.26
6 Nd 0.0000 0.0000 0.0000  8 Ag 3.26, 4 Nd 3.64
7 Y 0.0000 0.0000 0.2044  8 Ag 3.12-3.14
8 Y 0.0000 0.0000 0.4014  8 Ag 3.15
9 Y 0.0000 0.0000 0.5986  8 Ag 3.15
10 Y 0.0000 0.0000 0.7956  8 Ag 3.12-3.14

[6]
Below is a relaxed Nd3Zn2Ag crystal, with properties calculated at the GGA-PBE level.

Results
Energy of formation from the pure elements = -0.311 eV per atom
V = 25.4 Å³ per atom

Cell: 3.7195 3.7195 11.0225 Å, 90.00 90.00 90.00°
With the nearest neighbours (Å) after each atom.
Positions (direct):
1 Ag 0.0000 0.0000 0.5000  8 Nd 3.26
2 Nd 0.5000 0.5000 0.0000  8 Zn 3.17
3 Nd 0.5000 0.5000 0.3250  4 Zn 3.19, 4 Ag 3.26
4 Nd 0.5000 0.5000 0.6750  4 Zn 3.19, 4 Ag 3.26
5 Zn 0.0000 0.0000 0.1606  8 Nd 3.17-3.19, 1 Zn 3.54
6 Zn 0.0000 0.0000 0.8394  8 Nd 3.17-3.19, 1 Zn 3.54

energy of formation from the pure elements of number 4 (NdY2Ag3)? -0.317 eV per atom